Compound: InPdSeN2
Source: Alexandria via LeMat-Bulk
Functional: GGA-PBE
Structure: optimized geometry

```
InPdSeN2
1.0
-3.969 1.150 -0.080
-0.509 -2.006 -3.578
-1.429 -4.731 2.856
Se In Pd N
1 1 1 2
Direct
0.000 0.000 0.500 Se
0.000 0.000 0.000 In
0.500 0.500 0.500 Pd
0.000 0.500 0.000 N
0.500 0.000 0.000 N
```

Calculated values
E_tot	-4.09	eV per atom
SG	No. 123